Here is RbAcMoO5 after structural relaxation from the Alexandria database. Energies are from GGA+U.

Values from the calculation:
density = 4.567 g/cm3
SG = No. 15
DFT total energy = -6.88 eV/atom

Cell and atoms, written as extended XYZ:
```
16
Lattice="6.819 0.082 -0.021 -1.912 6.546 -0.021 -2.061 -2.784 7.945" Properties=species:S:1:pos:R:3 pbc="T T T"
O -1.767 5.361 1.965
Rb 0.394 3.761 1.965
O 3.679 -0.079 2.904
Ac -1.031 -1.392 3.973
O 3.189 2.816 3.095
Ac 0.000 0.000 0.000
Mo -0.663 2.388 5.938
O -2.180 2.103 6.877
Rb 2.452 0.083 5.938
O -0.833 3.922 4.999
O 5.026 1.740 1.027
Mo 3.509 1.455 1.965
O 2.114 1.364 0.836
O 4.613 -1.517 5.938
O -0.343 1.028 4.808
O 0.732 2.480 7.068
```